Computed, not measured: a relaxed structure of HfZr4In2 at the PBE-GGA level of DFT.

Lattice parameters (Å, degrees): 5.6041 5.6040 6.7266 114.58 114.63 89.98
Fractional positions:
Hf 0.0000 0.0000 0.0000
Zr 0.5000 0.0000 0.0000
Zr 0.2500 0.7503 0.5000
In 0.6409 0.6408 0.2819
In 0.3591 0.3592 0.7181
Zr 0.7500 0.2497 0.5000
Zr 0.0000 0.5000 0.0000

Output
Formation energy from the elements in eV per atom: 0.357
M_tot in μB/f.u.: 0.00
Energy above the lowest structure with this stoichiometry in meV/atom: 398
Symmetry: No. 139